# 1
Here is a geometry-optimized Li3CdAu3 structure from Alexandria via LeMat-Bulk. Energies are from PBE.

Geometry as CIF:
```
data_Li3CdAu3
_chemical_formula_sum 'Li6 Cd2 Au6'
_cell_length_a 7.060
_cell_length_b 7.060
_cell_length_c 7.260
_cell_angle_alpha 60.91
_cell_angle_beta 60.91
_cell_angle_gamma 60.00
_space_group_name_H-M_alt 'P 1'
_space_group_IT_number 1
_space_group_name_Hall 'P 1'
loop_
_atom_site_label
_atom_site_fract_x
_atom_site_fract_y
_atom_site_fract_z
Au1 0.079 0.820 0.797
Li1 0.083 0.550 0.641
Au2 0.820 0.304 0.797
Li2 0.450 0.273 0.359
Li3 0.917 0.450 0.359
Li4 0.727 0.083 0.641
Li5 0.550 0.727 0.641
Au3 0.921 0.180 0.203
Au4 0.696 0.921 0.203
Cd1 0.658 0.658 0.026
Au5 0.304 0.079 0.797
Cd2 0.342 0.342 0.974
Au6 0.180 0.696 0.203
Li6 0.273 0.917 0.359
```

Values from the calculation:
The calculation puts the energy relative to the lowest polymorph listed for this composition at 0.34 eV per formula unit. The value obtained for the formation energy is -2.5 eV/f.u. As for the magnetic moment: 0.00 μB/f.u.

=====

# 2
Here is a geometry-optimized La2Pr7Er structure from Alexandria via LeMat-Bulk. Energies are from PBE.

Geometry as CIF:
```
data_La2Pr7Er
_chemical_formula_sum 'La2 Pr7 Er1'
_cell_length_a 3.535
_cell_length_b 15.264
_cell_length_c 15.264
_cell_angle_alpha 154.01
_cell_angle_beta 90.00
_cell_angle_gamma 90.00
_space_group_name_H-M_alt 'P 1'
_space_group_IT_number 1
_space_group_name_Hall 'P 1'
loop_
_atom_site_label
_atom_site_fract_x
_atom_site_fract_y
_atom_site_fract_z
Pr1 0.500 0.145 0.340
Pr2 0.500 0.340 0.145
La1 0.500 0.704 0.296
Pr3 0.000 0.811 0.189
Pr4 0.500 0.500 0.500
Pr5 0.500 0.855 0.660
Pr6 0.500 0.660 0.855
Pr7 0.000 0.189 0.811
Er1 0.000 0.000 0.000
La2 0.500 0.296 0.704
```

Values from the calculation:
The value obtained for the formation energy is 1.4 eV/f.u. As for the magnetic moment: 0.00 μB/f.u.